This record from Alexandria describes crystalline TlCuPdSe2 at its relaxed geometry. The functional is PBE.

a = 5.362 Å, b = 5.362 Å, c = 4.883 Å
α = 90.00°, β = 90.00°, γ = 90.00°
Space group P4/mmm (No. 123)
Asymmetric unit:
Tl  0.000  0.000  0.000 x1
Cu  0.000  0.000  0.500 x1
Pd  0.500  0.500  0.500 x1
Se  0.000  0.500  0.000 x2

## Properties
DOS(E_F), states/eV/cell: 6.5
Polymorph energy (0 for the lowest one), meV/atom: 1282.4
Formation energy from raw total energies, meV per atom: 1008
Final energy, eV/atom: -2.72